--- 1 ---
The following is a PBE calculation of an optimized crystal structure of CrSi2Mo, from the Alexandria database.

a b c (Å): 3.117 3.117 5.367
angles (deg): 90.00 90.00 90.00
Element x y z (fractional)
1 Cr 0.000 0.000 0.474
2 Mo 0.500 0.500 0.762
3 Si 0.000 0.000 0.004
4 Si 0.500 0.500 0.260

Calculated values
ρ (g/cm3): 6.500
Fermi-level density of states (states/eV/cell): 1.5
SG: P4mm, No. 99
Magnetization (μB per formula unit): 0.00


--- 2 ---
The following is a PBE calculation of an optimized crystal structure of CrSi2Mo, from the Alexandria database.

a b c (Å): 4.241 4.241 4.241
angles (deg): 60.00 60.00 60.00
Site moments in Bohr magnetons follow the coordinates.
Element x y z (fractional)
1 Cr 0.000 0.000 0.000  2.28
2 Mo 0.500 0.500 0.500  0.10
3 Si 0.250 0.250 0.250  -0.03
4 Si 0.750 0.750 0.750  -0.03

Calculated values
ρ (g/cm3): 6.286
Fermi-level density of states (states/eV/cell): 3.2
SG: Fm-3m, No. 225
Magnetization (μB per formula unit): 2.54


--- 3 ---
The following is a PBE calculation of an optimized crystal structure of CrSi2Mo, from the Alexandria database.

a b c (Å): 4.810 4.810 4.810
angles (deg): 141.09 130.45 64.73
Element x y z (fractional)
1 Cr 0.503 0.503 0.000
2 Mo 0.256 0.756 0.500
3 Si 0.005 0.005 0.000
4 Si 0.736 0.236 0.500

Calculated values
ρ (g/cm3): 6.459
Fermi-level density of states (states/eV/cell): 3.2
SG: Imm2, No. 44
Magnetization (μB per formula unit): 0.04


Here are the energies relative to the best structure, in meV per atom: 1 0; 2 265; 3 218.